(1)
# BaMg3Pd | Alexandria | meta-GGA SCAN | PBEsol geometry
data_BaMg3Pd
_cell_length_a 5.135
_cell_length_b 5.135
_cell_length_c 5.135
_cell_angle_alpha 90.00
_cell_angle_beta 90.00
_cell_angle_gamma 90.00
_symmetry_space_group_name_H-M 'P m -3 m'
_symmetry_Int_Tables_number 221
_symmetry_space_group_name_Hall '-P 4 2 3'
loop_
_atom_site_label
_atom_site_type_symbol
_atom_site_fract_x
_atom_site_fract_y
_atom_site_fract_z
Ba1 Ba 0.000 0.000 0.000
Mg1 Mg 0.000 0.500 0.500
Pd1 Pd 0.500 0.500 0.500
# Magnetic moment, μB/f.u.: 0.45
# E_tot, eV for the cell shown: -89.14
# DFT formation energy, eV/f.u.: -1.90
# Crystal system: cubic

---

(2)
# BaMg2Pd2 | Alexandria | meta-GGA SCAN | PBEsol geometry
data_BaMg2Pd2
_cell_length_a 4.397
_cell_length_b 4.397
_cell_length_c 11.828
_cell_angle_alpha 90.00
_cell_angle_beta 90.00
_cell_angle_gamma 90.00
_symmetry_space_group_name_H-M 'I 4/m m m'
_symmetry_Int_Tables_number 139
_symmetry_space_group_name_Hall '-I 4 2'
loop_
_atom_site_label
_atom_site_type_symbol
_atom_site_fract_x
_atom_site_fract_y
_atom_site_fract_z
Ba1 Ba 0.000 0.000 0.000
Mg1 Mg 0.000 0.500 0.250
Pd1 Pd 0.000 0.000 0.384
# Magnetic moment, μB/f.u.: 0.00
# E_tot, eV for the cell shown: -236.28
# DFT formation energy, eV/f.u.: -3.09
# Crystal system: tetragonal

---

(3)
# Ba2MgPd2 | Alexandria | meta-GGA SCAN | PBEsol geometry
data_Ba2MgPd2
_cell_length_a 3.876
_cell_length_b 3.876
_cell_length_c 20.682
_cell_angle_alpha 90.00
_cell_angle_beta 90.00
_cell_angle_gamma 90.00
_symmetry_space_group_name_H-M 'I 4/m m m'
_symmetry_Int_Tables_number 139
_symmetry_space_group_name_Hall '-I 4 2'
loop_
_atom_site_label
_atom_site_type_symbol
_atom_site_fract_x
_atom_site_fract_y
_atom_site_fract_z
Ba1 Ba 0.000 0.000 0.132
Mg1 Mg 0.000 0.000 0.500
Pd1 Pd 0.000 0.500 0.250
# Magnetic moment, μB/f.u.: 0.69
# E_tot, eV for the cell shown: -300.87
# DFT formation energy, eV/f.u.: -0.81
# Crystal system: tetragonal

---

(4)
# BaMg2PdPt | Alexandria | meta-GGA SCAN | PBEsol geometry
data_BaMg2PdPt
_cell_length_a 5.795
_cell_length_b 5.795
_cell_length_c 5.050
_cell_angle_alpha 90.00
_cell_angle_beta 90.00
_cell_angle_gamma 90.00
_symmetry_space_group_name_H-M 'P 4/m m m'
_symmetry_Int_Tables_number 123
_symmetry_space_group_name_Hall '-P 4 2'
loop_
_atom_site_label
_atom_site_type_symbol
_atom_site_fract_x
_atom_site_fract_y
_atom_site_fract_z
Ba1 Ba 0.000 0.000 0.000
Mg1 Mg 0.000 0.500 0.000
Pd1 Pd 0.000 0.000 0.500
Pt1 Pt 0.500 0.500 0.500
# Magnetic moment, μB/f.u.: 0.00
# E_tot, eV for the cell shown: -143.96
# DFT formation energy, eV/f.u.: 8.50
# Crystal system: tetragonal

---

(5)
# Ba2MgPt | Alexandria | meta-GGA SCAN | PBEsol geometry
data_Ba2MgPt
_cell_length_a 4.6066
_cell_length_b 4.6066
_cell_length_c 24.8361
_cell_angle_alpha 90.00
_cell_angle_beta 90.00
_cell_angle_gamma 120.00
_symmetry_space_group_name_H-M 'R 3 m'
_symmetry_Int_Tables_number 160
_symmetry_space_group_name_Hall 'R 3 -2"'
loop_
_atom_site_label
_atom_site_type_symbol
_atom_site_fract_x
_atom_site_fract_y
_atom_site_fract_z
Ba1 Ba 0.0000 0.0000 0.0000
Ba2 Ba 0.0000 0.0000 0.1742
Mg1 Mg 0.0000 0.0000 0.7538
Pt1 Pt 0.0000 0.0000 0.4198
# Magnetic moment, μB/f.u.: 0.03
# E_tot, eV for the cell shown: -469.90
# DFT formation energy, eV/f.u.: -2.37
# Crystal system: trigonal

---

(6)
# BaMg3Pt | Alexandria | meta-GGA SCAN | PBEsol geometry
data_BaMg3Pt
_cell_length_a 5.127
_cell_length_b 5.127
_cell_length_c 5.127
_cell_angle_alpha 90.00
_cell_angle_beta 90.00
_cell_angle_gamma 90.00
_symmetry_space_group_name_H-M 'P m -3 m'
_symmetry_Int_Tables_number 221
_symmetry_space_group_name_Hall '-P 4 2 3'
loop_
_atom_site_label
_atom_site_type_symbol
_atom_site_fract_x
_atom_site_fract_y
_atom_site_fract_z
Ba1 Ba 0.000 0.000 0.000
Mg1 Mg 0.000 0.500 0.500
Pt1 Pt 0.500 0.500 0.500
# Magnetic moment, μB/f.u.: 0.47
# E_tot, eV for the cell shown: -127.44
# DFT formation energy, eV/f.u.: -2.78
# Crystal system: cubic

---

(7)
# BaMgPt | Alexandria | meta-GGA SCAN | PBEsol geometry
data_BaMgPt
_cell_length_a 4.5546
_cell_length_b 4.5546
_cell_length_c 4.6384
_cell_angle_alpha 90.00
_cell_angle_beta 90.00
_cell_angle_gamma 120.00
_symmetry_space_group_name_H-M 'P -6 m 2'
_symmetry_Int_Tables_number 187
_symmetry_space_group_name_Hall 'P -6 2'
loop_
_atom_site_label
_atom_site_type_symbol
_atom_site_fract_x
_atom_site_fract_y
_atom_site_fract_z
Ba1 Ba 0.0000 0.0000 0.0000
Mg1 Mg 0.3333 0.6667 0.5000
Pt1 Pt 0.6667 0.3333 0.5000
# Magnetic moment, μB/f.u.: 0.00
# E_tot, eV for the cell shown: -116.86
# DFT formation energy, eV/f.u.: -2.15
# Crystal system: hexagonal

---

(8)
# BaMgSi2Pt | Alexandria | meta-GGA SCAN | PBEsol geometry
data_BaMgSi2Pt
_cell_length_a 4.775
_cell_length_b 4.775
_cell_length_c 5.847
_cell_angle_alpha 90.00
_cell_angle_beta 90.00
_cell_angle_gamma 90.00
_symmetry_space_group_name_H-M 'P 4/m m m'
_symmetry_Int_Tables_number 123
_symmetry_space_group_name_Hall '-P 4 2'
loop_
_atom_site_label
_atom_site_type_symbol
_atom_site_fract_x
_atom_site_fract_y
_atom_site_fract_z
Ba1 Ba 0.000 0.000 0.000
Mg1 Mg 0.000 0.000 0.500
Si1 Si 0.000 0.500 0.500
Pt1 Pt 0.500 0.500 0.000
# Magnetic moment, μB/f.u.: 0.00
# Raw formation energy, eV/atom: 0.91
# E_tot, eV for the cell shown: -130.21
# Crystal system: tetragonal

---

(9)
# Ba2MgZrPt | Alexandria | meta-GGA SCAN | PBEsol geometry
data_Ba2MgZrPt
_cell_length_a 6.019
_cell_length_b 6.019
_cell_length_c 5.213
_cell_angle_alpha 90.00
_cell_angle_beta 90.00
_cell_angle_gamma 90.00
_symmetry_space_group_name_H-M 'P 4/m m m'
_symmetry_Int_Tables_number 123
_symmetry_space_group_name_Hall '-P 4 2'
loop_
_atom_site_label
_atom_site_type_symbol
_atom_site_fract_x
_atom_site_fract_y
_atom_site_fract_z
Ba1 Ba 0.000 0.500 0.000
Mg1 Mg 0.000 0.000 0.000
Zr1 Zr 0.000 0.000 0.500
Pt1 Pt 0.500 0.500 0.500
# Magnetic moment, μB/f.u.: 0.00
# E_tot, eV for the cell shown: -179.88
# DFT formation energy, eV/f.u.: 5.09
# Crystal system: tetragonal

---

(10)
# Rb2BaMgW | Alexandria | meta-GGA SCAN | PBEsol geometry
data_Rb2BaMgW
_cell_length_a 6.530
_cell_length_b 6.530
_cell_length_c 5.579
_cell_angle_alpha 90.00
_cell_angle_beta 90.00
_cell_angle_gamma 90.00
_symmetry_space_group_name_H-M 'P 4/m m m'
_symmetry_Int_Tables_number 123
_symmetry_space_group_name_Hall '-P 4 2'
loop_
_atom_site_label
_atom_site_type_symbol
_atom_site_fract_x
_atom_site_fract_y
_atom_site_fract_z
Rb1 Rb 0.000 0.500 0.000
Ba1 Ba 0.000 0.000 0.500
Mg1 Mg 0.500 0.500 0.000
W1 W 0.500 0.500 0.500
# Magnetic moment, μB/f.u.: 4.42
# E_tot, eV for the cell shown: -148.73
# DFT formation energy, eV/f.u.: 6.96
# Crystal system: tetragonal

---

(11)
# BaMgRe2 | Alexandria | meta-GGA SCAN | PBEsol geometry
data_BaMgRe2
_cell_length_a 9.628
_cell_length_b 3.796
_cell_length_c 6.073
_cell_angle_alpha 90.00
_cell_angle_beta 109.10
_cell_angle_gamma 90.00
_symmetry_space_group_name_H-M 'C 1 2/m 1'
_symmetry_Int_Tables_number 12
_symmetry_space_group_name_Hall '-C 2y'
loop_
_atom_site_label
_atom_site_type_symbol
_atom_site_fract_x
_atom_site_fract_y
_atom_site_fract_z
Ba1 Ba 0.000 0.000 0.000
Mg1 Mg 0.000 0.500 0.500
Re1 Re 0.243 0.000 0.610
# Magnetic moment, μB/f.u.: 0.00
# E_tot, eV for the cell shown: -367.94
# DFT formation energy, eV/f.u.: 2.75
# Crystal system: monoclinic

---

(12)
# Ba3MgRe | Alexandria | meta-GGA SCAN | PBEsol geometry
data_Ba3MgRe
_cell_length_a 6.307
_cell_length_b 6.307
_cell_length_c 6.307
_cell_angle_alpha 90.00
_cell_angle_beta 90.00
_cell_angle_gamma 90.00
_symmetry_space_group_name_H-M 'P m -3 m'
_symmetry_Int_Tables_number 221
_symmetry_space_group_name_Hall '-P 4 2 3'
loop_
_atom_site_label
_atom_site_type_symbol
_atom_site_fract_x
_atom_site_fract_y
_atom_site_fract_z
Ba1 Ba 0.000 0.000 0.500
Mg1 Mg 0.000 0.000 0.000
Re1 Re 0.500 0.500 0.500
# Magnetic moment, μB/f.u.: 2.97
# E_tot, eV for the cell shown: -186.97
# DFT formation energy, eV/f.u.: 7.75
# Crystal system: cubic

---

(13)
# BaMgRe2 | Alexandria | meta-GGA SCAN | PBEsol geometry
data_BaMgRe2
_cell_length_a 5.644
_cell_length_b 10.302
_cell_length_c 2.822
_cell_angle_alpha 90.00
_cell_angle_beta 108.17
_cell_angle_gamma 90.00
_symmetry_space_group_name_H-M 'C 1 2/m 1'
_symmetry_Int_Tables_number 12
_symmetry_space_group_name_Hall '-C 2y'
loop_
_atom_site_label
_atom_site_type_symbol
_atom_site_fract_x
_atom_site_fract_y
_atom_site_fract_z
Ba1 Ba 0.000 0.000 0.000
Mg1 Mg 0.000 0.500 0.000
Re1 Re 0.250 0.250 0.500
# Magnetic moment, μB/f.u.: 0.00
# E_tot, eV for the cell shown: -362.67
# DFT formation energy, eV/f.u.: 5.38
# Crystal system: monoclinic

---

(14)
# BaMg2Re | Alexandria | meta-GGA SCAN | PBEsol geometry
data_BaMg2Re
_cell_length_a 3.001
_cell_length_b 5.529
_cell_length_c 5.552
_cell_angle_alpha 90.00
_cell_angle_beta 90.00
_cell_angle_gamma 90.00
_symmetry_space_group_name_H-M 'P m m m'
_symmetry_Int_Tables_number 47
_symmetry_space_group_name_Hall '-P 2 2'
loop_
_atom_site_label
_atom_site_type_symbol
_atom_site_fract_x
_atom_site_fract_y
_atom_site_fract_z
Ba1 Ba 0.000 0.000 0.000
Mg1 Mg 0.000 0.500 0.500
Mg2 Mg 0.500 0.000 0.500
Re1 Re 0.500 0.500 0.000
# Magnetic moment, μB/f.u.: 0.00
# E_tot, eV for the cell shown: -116.53
# DFT formation energy, eV/f.u.: 4.07
# Crystal system: orthorhombic

---

(15)
# BaMgRe2 | Alexandria | meta-GGA SCAN | PBEsol geometry
data_BaMgRe2
_cell_length_a 3.686
_cell_length_b 4.773
_cell_length_c 11.827
_cell_angle_alpha 90.00
_cell_angle_beta 90.00
_cell_angle_gamma 90.00
_symmetry_space_group_name_H-M 'I m m 2'
_symmetry_Int_Tables_number 44
_symmetry_space_group_name_Hall 'I 2 -2'
loop_
_atom_site_label
_atom_site_type_symbol
_atom_site_fract_x
_atom_site_fract_y
_atom_site_fract_z
Ba1 Ba 0.000 0.000 0.000
Mg1 Mg 0.000 0.500 0.755
Re1 Re 0.000 0.000 0.623
Re2 Re 0.000 0.500 0.244
# Magnetic moment, μB/f.u.: 0.00
# E_tot, eV for the cell shown: -367.54
# DFT formation energy, eV/f.u.: 2.95
# Crystal system: orthorhombic